(1)
{
  "formula": "LiInHg",
  "functional": "PBE",
  "state": "optimized geometry",
  "cell": [[5.233, 0.000, 0.000], [0.000, 5.386, 0.000], [-2.569, 0.000, 4.579]],
  "species": ["Li", "Li", "In", "In", "Hg", "Hg"],
  "frac_coords": [[0.166, 0.250, 0.193], [0.834, 0.750, 0.807], [0.490, 0.250, 0.845], [0.510, 0.750, 0.155], [0.169, 0.750, 0.465], [0.831, 0.250, 0.535]],
  "m_tot_mub_per_fu": 0.00,
  "dos_at_fermi_per_ev_cell": 1.00,
  "formation_energy_ev_per_atom": -0.23,
  "space_group": "P2_1/m (11)",
  "relative_energy_mev_per_atom": 2,
  "energy_ev_per_cell": -11.3
}



(2)
{
  "formula": "Li2In5Hg12",
  "functional": "PBE",
  "state": "optimized geometry",
  "cell": [[9.675, -3.797, 0.000], [9.675, 3.797, 0.000], [-1.569, 0.000, 6.722]],
  "species": ["Li", "Li", "In", "In", "In", "In", "In", "Hg", "Hg", "Hg", "Hg", "Hg", "Hg", "Hg", "Hg", "Hg", "Hg", "Hg", "Hg"],
  "frac_coords": [[0.231, 0.769, 0.000], [0.769, 0.231, 0.000], [0.156, 0.156, 0.086], [0.262, 0.262, 0.541], [0.500, 0.500, 0.500], [0.738, 0.738, 0.459], [0.844, 0.844, 0.914], [0.038, 0.038, 0.713], [0.060, 0.544, 0.210], [0.150, 0.645, 0.637], [0.355, 0.850, 0.363], [0.402, 0.402, 0.042], [0.456, 0.940, 0.790], [0.544, 0.060, 0.210], [0.598, 0.598, 0.958], [0.645, 0.150, 0.637], [0.850, 0.355, 0.363], [0.940, 0.456, 0.790], [0.962, 0.962, 0.287]],
  "m_tot_mub_per_fu": 0.00,
  "dos_at_fermi_per_ev_cell": 5.29,
  "formation_energy_ev_per_atom": -0.05,
  "space_group": "C2/m (12)",
  "relative_energy_mev_per_atom": 0,
  "energy_ev_per_cell": -22.2
}



(3)
{
  "formula": "LiIn2Hg8",
  "functional": "PBE",
  "state": "optimized geometry",
  "cell": [[4.925, 0.000, 0.000], [0.000, 4.925, 0.000], [0.000, 0.000, 11.697]],
  "species": ["Li", "In", "In", "Hg", "Hg", "Hg", "Hg", "Hg", "Hg", "Hg", "Hg"],
  "frac_coords": [[0.000, 0.000, 0.000], [0.000, 0.000, 0.315], [0.000, 0.000, 0.685], [0.000, 0.500, 0.132], [0.000, 0.500, 0.500], [0.000, 0.500, 0.868], [0.500, 0.000, 0.132], [0.500, 0.000, 0.500], [0.500, 0.000, 0.868], [0.500, 0.500, 0.318], [0.500, 0.500, 0.682]],
  "m_tot_mub_per_fu": 0.00,
  "dos_at_fermi_per_ev_cell": 2.64,
  "formation_energy_ev_per_atom": -0.06,
  "space_group": "P4/mmm (123)",
  "relative_energy_mev_per_atom": 0,
  "energy_ev_per_cell": -10.5
}



(4)
{
  "formula": "LiIn12Hg16",
  "functional": "PBE",
  "state": "optimized geometry",
  "cell": [[5.999, -7.959, 0.000], [5.999, 7.959, 0.000], [-3.314, 0.000, 8.072]],
  "species": ["Li", "In", "In", "In", "In", "In", "In", "In", "In", "In", "In", "In", "In", "Hg", "Hg", "Hg", "Hg", "Hg", "Hg", "Hg", "Hg", "Hg", "Hg", "Hg", "Hg", "Hg", "Hg", "Hg", "Hg"],
  "frac_coords": [[0.000, 0.000, 0.000], [0.046, 0.250, 0.551], [0.225, 0.855, 0.820], [0.250, 0.046, 0.551], [0.253, 0.253, 0.309], [0.370, 0.567, 0.165], [0.537, 0.537, 0.519], [0.567, 0.370, 0.165], [0.666, 0.868, 0.759], [0.700, 0.990, 0.400], [0.855, 0.225, 0.820], [0.868, 0.666, 0.759], [0.990, 0.700, 0.400], [0.054, 0.441, 0.187], [0.104, 0.528, 0.866], [0.144, 0.828, 0.154], [0.213, 0.213, 0.934], [0.236, 0.577, 0.571], [0.407, 0.827, 0.451], [0.412, 0.412, 0.781], [0.441, 0.054, 0.187], [0.493, 0.759, 0.978], [0.528, 0.104, 0.866], [0.577, 0.236, 0.571], [0.759, 0.493, 0.978], [0.822, 0.822, 0.153], [0.827, 0.407, 0.451], [0.828, 0.144, 0.154], [0.953, 0.953, 0.646]],
  "m_tot_mub_per_fu": 0.00,
  "dos_at_fermi_per_ev_cell": 7.83,
  "formation_energy_ev_per_atom": 0.00,
  "space_group": "Cm (8)",
  "energy_ev_per_cell": -39.7
}



(5)
{
  "formula": "LiInHg3",
  "functional": "PBE",
  "state": "optimized geometry",
  "cell": [[3.224, 1.861, 6.867], [-3.224, 1.861, 6.867], [0.000, -3.722, 6.867]],
  "species": ["Li", "Li", "In", "In", "Hg", "Hg", "Hg", "Hg", "Hg", "Hg"],
  "frac_coords": [[0.165, 0.165, 0.165], [0.835, 0.835, 0.835], [0.423, 0.423, 0.423], [0.577, 0.577, 0.577], [0.105, 0.598, 0.107], [0.107, 0.105, 0.598], [0.402, 0.895, 0.893], [0.598, 0.107, 0.105], [0.893, 0.402, 0.895], [0.895, 0.893, 0.402]],
  "m_tot_mub_per_fu": 0.00,
  "dos_at_fermi_per_ev_cell": 2.13,
  "formation_energy_ev_per_atom": -0.11,
  "space_group": "R32 (155)",
  "relative_energy_mev_per_atom": 31,
  "energy_ev_per_cell": -12.2
}



(6)
{
  "formula": "LiIn7Hg6",
  "functional": "PBE",
  "state": "optimized geometry",
  "cell": [[-3.185, 9.844, 6.035], [3.185, -9.844, 6.035], [3.185, 9.844, -6.035]],
  "species": ["Li", "Li", "In", "In", "In", "In", "In", "In", "In", "In", "In", "In", "In", "In", "In", "In", "Hg", "Hg", "Hg", "Hg", "Hg", "Hg", "Hg", "Hg", "Hg", "Hg", "Hg", "Hg"],
  "frac_coords": [[0.250, 0.250, 0.000], [0.750, 0.750, 0.000], [0.007, 0.761, 0.768], [0.102, 0.000, 0.362], [0.138, 0.500, 0.898], [0.250, 0.750, 0.500], [0.362, 0.260, 0.362], [0.398, 0.760, 0.898], [0.493, 0.261, 0.753], [0.507, 0.739, 0.247], [0.602, 0.240, 0.102], [0.638, 0.740, 0.638], [0.750, 0.250, 0.500], [0.862, 0.500, 0.102], [0.898, 0.000, 0.638], [0.993, 0.239, 0.232], [0.067, 0.406, 0.101], [0.133, 0.422, 0.555], [0.194, 0.094, 0.661], [0.306, 0.966, 0.899], [0.367, 0.922, 0.290], [0.433, 0.534, 0.339], [0.567, 0.466, 0.661], [0.633, 0.078, 0.710], [0.694, 0.034, 0.101], [0.806, 0.906, 0.339], [0.867, 0.578, 0.445], [0.933, 0.594, 0.899]],
  "m_tot_mub_per_fu": 0.00,
  "dos_at_fermi_per_ev_cell": 10.34,
  "formation_energy_ev_per_atom": 0.00,
  "space_group": "Ibam (72)",
  "energy_ev_per_cell": -45.8
}



(7)
{
  "formula": "Li3In2Hg5",
  "functional": "PBE",
  "state": "optimized geometry",
  "cell": [[5.122, -6.770, 0.000], [5.122, 6.770, 0.000], [-1.003, 0.000, 6.401]],
  "species": ["Li", "Li", "Li", "Li", "Li", "Li", "In", "In", "In", "In", "Hg", "Hg", "Hg", "Hg", "Hg", "Hg", "Hg", "Hg", "Hg", "Hg"],
  "frac_coords": [[0.029, 0.971, 0.750], [0.216, 0.495, 0.404], [0.495, 0.216, 0.904], [0.505, 0.784, 0.096], [0.784, 0.505, 0.596], [0.971, 0.029, 0.250], [0.134, 0.599, 0.862], [0.401, 0.866, 0.638], [0.599, 0.134, 0.362], [0.866, 0.401, 0.138], [0.049, 0.738, 0.413], [0.174, 0.272, 0.037], [0.262, 0.951, 0.087], [0.272, 0.174, 0.537], [0.476, 0.524, 0.750], [0.524, 0.476, 0.250], [0.728, 0.826, 0.463], [0.738, 0.049, 0.913], [0.826, 0.728, 0.963], [0.951, 0.262, 0.587]],
  "m_tot_mub_per_fu": 0.00,
  "dos_at_fermi_per_ev_cell": 9.63,
  "formation_energy_ev_per_atom": -0.19,
  "space_group": "C2/c (15)",
  "energy_ev_per_cell": -29.3
}



(8)
{
  "formula": "LiIn2Hg9",
  "functional": "PBE",
  "state": "optimized geometry",
  "cell": [[5.129, 0.000, 0.000], [0.000, 5.129, 0.000], [0.000, 0.000, 11.619]],
  "species": ["Li", "In", "In", "Hg", "Hg", "Hg", "Hg", "Hg", "Hg", "Hg", "Hg", "Hg"],
  "frac_coords": [[0.000, 0.000, 0.000], [0.000, 0.000, 0.324], [0.000, 0.000, 0.676], [0.000, 0.500, 0.156], [0.000, 0.500, 0.500], [0.000, 0.500, 0.844], [0.500, 0.000, 0.156], [0.500, 0.000, 0.500], [0.500, 0.000, 0.844], [0.500, 0.500, 0.000], [0.500, 0.500, 0.332], [0.500, 0.500, 0.668]],
  "m_tot_mub_per_fu": 0.00,
  "dos_at_fermi_per_ev_cell": 2.51,
  "formation_energy_ev_per_atom": -0.05,
  "space_group": "P4/mmm (123)",
  "energy_ev_per_cell": -10.7
}



(9)
{
  "formula": "Li2InHg",
  "functional": "PBE",
  "state": "optimized geometry",
  "cell": [[3.307, 0.000, 0.000], [0.000, 3.497, 0.000], [0.000, 0.000, 6.542]],
  "species": ["Li", "Li", "In", "Hg"],
  "frac_coords": [[0.000, 0.000, 0.236], [0.000, 0.000, 0.764], [0.500, 0.500, 0.500], [0.500, 0.500, 0.000]],
  "m_tot_mub_per_fu": 0.00,
  "dos_at_fermi_per_ev_cell": 1.48,
  "formation_energy_ev_per_atom": -0.32,
  "space_group": "Pmmm (47)",
  "energy_ev_per_cell": -8.1
}



(10)
{
  "formula": "LiInHg",
  "functional": "PBE",
  "state": "optimized geometry",
  "cell": [[2.613, -5.546, 0.000], [2.613, 5.546, 0.000], [-2.596, 0.000, 4.505]],
  "species": ["Li", "Li", "In", "In", "Hg", "Hg"],
  "frac_coords": [[0.127, 0.873, 0.500], [0.873, 0.127, 0.000], [0.542, 0.788, 0.332], [0.788, 0.542, 0.832], [0.200, 0.451, 0.655], [0.451, 0.200, 0.155]],
  "m_tot_mub_per_fu": 0.00,
  "dos_at_fermi_per_ev_cell": 2.17,
  "formation_energy_ev_per_atom": -0.21,
  "space_group": "Cc (9)",
  "relative_energy_mev_per_atom": 18,
  "energy_ev_per_cell": -11.2
}



(11)
{
  "formula": "LiIn5Hg8",
  "functional": "PBE",
  "state": "optimized geometry",
  "cell": [[-4.523, 4.523, 4.442], [4.523, -4.523, 4.442], [4.523, 4.523, -4.442]],
  "species": ["Li", "In", "In", "In", "In", "In", "Hg", "Hg", "Hg", "Hg", "Hg", "Hg", "Hg", "Hg"],
  "frac_coords": [[0.000, 0.000, 0.000], [0.152, 0.511, 0.877], [0.250, 0.750, 0.500], [0.489, 0.366, 0.640], [0.634, 0.275, 0.123], [0.725, 0.848, 0.360], [0.015, 0.260, 0.389], [0.197, 0.102, 0.756], [0.347, 0.441, 0.244], [0.374, 0.985, 0.245], [0.559, 0.803, 0.905], [0.740, 0.129, 0.755], [0.871, 0.626, 0.611], [0.898, 0.653, 0.095]],
  "m_tot_mub_per_fu": 0.00,
  "dos_at_fermi_per_ev_cell": 4.82,
  "formation_energy_ev_per_atom": -0.04,
  "space_group": "I-4 (82)",
  "energy_ev_per_cell": -18.6
}



(12)
{
  "formula": "LiIn4Hg2",
  "functional": "PBE",
  "state": "optimized geometry",
  "cell": [[4.281, -2.412, 0.000], [4.281, 2.412, 0.000], [-2.463, 0.000, 8.527]],
  "species": ["Li", "In", "In", "In", "In", "Hg", "Hg"],
  "frac_coords": [[0.000, 0.000, 0.000], [0.140, 0.140, 0.423], [0.420, 0.420, 0.261], [0.580, 0.580, 0.739], [0.860, 0.860, 0.577], [0.293, 0.293, 0.883], [0.707, 0.707, 0.117]],
  "m_tot_mub_per_fu": 0.00,
  "dos_at_fermi_per_ev_cell": 2.38,
  "formation_energy_ev_per_atom": -0.08,
  "space_group": "C2/m (12)",
  "relative_energy_mev_per_atom": 0,
  "energy_ev_per_cell": -14.0
}